Below is a relaxed SmTiTl2 crystal, with properties calculated at the PBE-GGA level.

Results
Formation enthalpy at 0 K = 0.27 eV per formula unit
Mass density = 9.91 g cm⁻³

Lattice parameters (Å, degrees): 3.411 3.411 10.279 80.45 80.45 60.00
Last column: magnetic moment on the atom in μB.
Fractional positions:
1 Sm 0.500 0.500 0.500  -0.08
2 Tl 0.743 0.743 0.772  0.00
3 Tl 0.257 0.257 0.228  0.00
4 Ti 0.000 0.000 0.000  0.88